Density functional theory data (GGA+U) for an optimized crystal structure of K3MnC2O6.

Results
DOS at the Fermi energy, states/eV per atom: 0.09
V, A^3/atom: 16.2
DFT total energy, eV per atom: -6.37

Lattice parameters (Å, degrees): 5.579 5.579 7.193 90.00 90.00 120.00
Positions (direct):
K (0.000, 0.000, 0.000)
K (0.333, 0.667, 0.716)
K (0.667, 0.333, 0.284)
Mn (0.000, 0.000, 0.500)
C (0.333, 0.667, 0.269)
C (0.667, 0.333, 0.731)
O (0.197, 0.395, 0.273)
O (0.197, 0.803, 0.273)
O (0.395, 0.197, 0.727)
O (0.605, 0.803, 0.273)
O (0.803, 0.197, 0.727)
O (0.803, 0.605, 0.727)